An optimized crystal structure of LiOsSe3. Source: Alexandria via LeMat-Bulk, functional PBE.

extended XYZ file:
```
5
Lattice="4.971 0.000 0.000 0.000 4.971 0.000 0.000 0.000 4.971" Properties=species:S:1:pos:R:3 pbc="T T T"
Li 0.000 0.000 0.000
Os 2.485 2.485 2.485
Se 0.000 2.485 2.485
Se 2.485 0.000 2.485
Se 2.485 2.485 0.000
```

Magnetization   1.47 μB per formula unit
Formation energy from raw total energies   293 meV/atom
Excess energy over the best structure of this formula in the dataset   0.00 eV/f.u.